Here is a relaxed ZnCu3W4O16 crystal from Alexandria. Energies are from PBE with a Hubbard U. Values from VASP.

Quantum ESPRESSO input file:
```
&SYSTEM
  ibrav = 0, nat = 24, ntyp = 4
/
ATOMIC_SPECIES
Zn 65.41 Zn.upf
Cu 63.55 Cu.upf
W 183.84 W.upf
O 16.00 O.upf
ATOMIC_POSITIONS angstrom
Zn 0.0000 0.0000 0.0000
Cu 0.4747 2.6468 2.0489
Cu 1.1919 2.9398 7.9397
Cu 0.8361 0.3420 6.1025
W 2.7934 0.2235 3.0796
W 3.5598 0.5555 9.0025
W 3.9505 3.0592 11.0076
W 3.2725 2.7622 5.0584
O 1.4718 3.3453 0.4207
O 2.1593 3.6233 6.3365
O 1.5715 1.0395 1.9970
O 2.3275 1.3612 7.9365
O 2.0569 1.1846 4.7824
O 2.0815 3.6927 3.5565
O 2.7835 1.4993 10.6856
O 2.8486 4.0255 9.4869
O 4.2892 4.2832 4.6162
O 4.0043 1.8077 3.3701
O 5.0334 4.6097 10.5874
O 4.7655 2.1210 9.2993
O 3.8121 1.7465 0.2401
O 4.5000 1.9375 6.1328
O 4.2286 4.3467 1.8467
O 4.9779 4.6573 7.7542
CELL_PARAMETERS angstrom
4.7749 0.0000 0.0000
0.3129 4.9836 0.0000
1.3530 0.5094 11.8475
```

Properties
* total magnetization: 3.03 μB/cell
* final energy: -6.6086 eV/atom